A relaxed LaTbWO6 crystal. Source: Alexandria, functional PBE+U.

Properties
- E: -8.0778 eV per atom
- Total magnetization: 0.00 μB per formula unit

Cell: 5.608 5.608 5.043 Å, 90.00 90.00 120.00°
Element x y z (fractional)
La 0.000 0.000 0.000
Tb 0.333 0.667 0.500
W 0.667 0.333 0.500
O 0.379 0.041 0.718
O 0.379 0.338 0.282
O 0.662 0.041 0.282
O 0.662 0.621 0.718
O 0.959 0.338 0.718
O 0.959 0.621 0.282